# 1
DFT (PBEsol) results for a geometry-optimized Zn2CuAu structure.

E: -2.9710 eV/atom
Formation energy from the elements: -0.46 eV per formula unit

The structure in POSCAR format:
```
Zn2CuAu
1.0
6.064 0.000 0.000
0.000 6.064 0.000
0.000 0.000 6.064
Zn Cu Au
8 4 4
Direct
0.000 0.000 0.000
0.000 0.500 0.500
0.250 0.250 0.250
0.250 0.750 0.750
0.500 0.000 0.500
0.500 0.500 0.000
0.750 0.250 0.750
0.750 0.750 0.250
0.000 0.000 0.500
0.000 0.500 0.000
0.500 0.000 0.000
0.500 0.500 0.500
0.250 0.250 0.750
0.250 0.750 0.250
0.750 0.250 0.250
0.750 0.750 0.750
```

# 2
DFT (PBEsol) results for a geometry-optimized BeNi2W structure.

E: -7.7612 eV/atom
Formation energy from the elements: -0.92 eV per formula unit

The structure in POSCAR format:
```
BeNi2W
1.0
2.597 0.000 0.000
0.000 2.597 0.000
0.000 0.000 6.403
Be Ni W
1 2 1
Direct
0.000 0.000 0.000
0.500 0.500 0.203
0.500 0.500 0.797
0.000 0.000 0.500
```

# 3
DFT (PBEsol) results for a geometry-optimized ZrIn3 structure.

E: -4.7417 eV/atom
Formation energy from the elements: -0.93 eV per formula unit

The structure in POSCAR format:
```
ZrIn3
1.0
3.254 0.000 0.000
0.000 10.187 0.000
0.000 0.000 5.381
Zr In
2 6
Direct
0.000 0.000 0.000
0.500 0.500 0.500
0.000 0.256 0.317
0.000 0.500 0.980
0.000 0.744 0.317
0.500 0.000 0.480
0.500 0.244 0.817
0.500 0.756 0.817
```

# 4
DFT (PBEsol) results for a geometry-optimized MgIn2 structure.

E: -2.6014 eV/atom
Formation energy from the elements: -0.12 eV per formula unit

The structure in POSCAR format:
```
MgIn2
1.0
3.250 0.000 0.000
-1.625 2.814 0.000
0.000 0.000 15.827
Mg In
2 4
Direct
0.000 0.000 0.159
0.000 0.000 0.841
0.000 0.000 0.500
0.667 0.333 0.000
0.667 0.333 0.322
0.667 0.333 0.678
```

# 5
DFT (PBEsol) results for a geometry-optimized ErCuPbSe3 structure.

E: -5.1403 eV/atom
Formation energy without anion corrections: -6.03 eV/f.u.

The structure in POSCAR format:
```
ErCuPbSe3
1.0
10.364 0.000 0.000
0.000 3.974 0.000
0.000 0.000 13.392
Er Cu Pb Se
4 4 4 12
Direct
0.018 0.250 0.245
0.482 0.750 0.745
0.518 0.250 0.255
0.982 0.750 0.755
0.238 0.250 0.720
0.262 0.750 0.220
0.738 0.250 0.780
0.762 0.750 0.280
0.227 0.750 0.507
0.273 0.250 0.007
0.727 0.750 0.993
0.773 0.250 0.493
0.046 0.250 0.613
0.081 0.750 0.105
0.235 0.750 0.830
0.265 0.250 0.330
0.419 0.250 0.605
0.454 0.750 0.113
0.546 0.250 0.887
0.581 0.750 0.395
0.735 0.750 0.670
0.765 0.250 0.170
0.919 0.250 0.895
0.954 0.750 0.387
```

# 6
DFT (PBEsol) results for a geometry-optimized Mg2SiTc structure.

E: -5.0929 eV/atom
Formation energy without anion corrections: 0.08 eV/f.u.

The structure in POSCAR format:
```
Mg2SiTc
1.0
2.820 0.000 0.000
0.000 4.344 0.000
-1.420 0.000 5.295
Mg Si Tc
2 1 1
Direct
0.000 0.000 0.000
0.351 0.500 0.700
0.625 0.500 0.251
0.733 0.000 0.463
```

# 7
DFT (PBEsol) results for a geometry-optimized Mn2MoSe structure.

E: -8.4596 eV/atom
Formation energy without anion corrections: 1.30 eV/f.u.

The structure in POSCAR format:
```
Mn2MoSe
1.0
3.682 0.000 0.000
0.000 3.682 0.000
0.000 0.000 3.947
Mn Mo Se
2 1 1
Direct
0.000 0.500 0.000
0.500 0.000 0.000
0.000 0.000 0.500
0.500 0.500 0.500
```

# 8
DFT (PBEsol) results for a geometry-optimized SbOs2 structure.

E: -9.2171 eV/atom
Formation energy without anion corrections: 1.34 eV/f.u.

The structure in POSCAR format:
```
SbOs2
1.0
9.768 0.000 0.000
0.000 2.833 0.000
-1.860 0.000 8.389
Sb Os
4 8
Direct
0.157 0.000 0.147
0.343 0.500 0.853
0.657 0.500 0.147
0.843 0.000 0.853
0.035 0.500 0.356
0.179 0.000 0.592
0.321 0.500 0.408
0.465 0.000 0.644
0.535 0.000 0.356
0.679 0.500 0.592
0.821 0.000 0.408
0.965 0.500 0.644
```

# 9
DFT (PBEsol) results for a geometry-optimized CdHg2Ir structure.

E: -2.7144 eV/atom
Formation energy from the elements: 1.30 eV per formula unit

The structure in POSCAR format:
```
CdHg2Ir
1.0
6.627 0.000 0.000
0.000 6.627 0.000
0.000 0.000 6.627
Cd Hg Ir
4 8 4
Direct
0.000 0.000 0.000
0.000 0.500 0.500
0.500 0.000 0.500
0.500 0.500 0.000
0.250 0.250 0.250
0.250 0.250 0.750
0.250 0.750 0.250
0.250 0.750 0.750
0.750 0.250 0.250
0.750 0.250 0.750
0.750 0.750 0.250
0.750 0.750 0.750
0.000 0.000 0.500
0.000 0.500 0.000
0.500 0.000 0.000
0.500 0.500 0.500
```

# 10
DFT (PBEsol) results for a geometry-optimized MgSiTe3 structure.

E: -3.0294 eV/atom
Formation energy without anion corrections: 2.90 eV/f.u.

The structure in POSCAR format:
```
MgSiTe3
1.0
5.307 0.000 0.000
0.000 5.307 0.000
0.000 0.000 5.307
Mg Si Te
1 1 3
Direct
0.000 0.000 0.000
0.500 0.500 0.500
0.000 0.000 0.500
0.000 0.500 0.000
0.500 0.000 0.000
```

# 11
DFT (PBEsol) results for a geometry-optimized ZrSiAu2 structure.

E: -6.1031 eV/atom
Formation energy without anion corrections: -1.73 eV/f.u.

The structure in POSCAR format:
```
ZrSiAu2
1.0
3.894 0.000 0.000
0.000 4.099 0.000
0.000 0.000 8.663
Zr Si Au
2 2 4
Direct
0.000 0.000 0.000
0.500 0.500 0.500
0.000 0.000 0.500
0.500 0.500 0.000
0.000 0.500 0.237
0.000 0.500 0.763
0.500 0.000 0.263
0.500 0.000 0.737
```

# 12
DFT (PBEsol) results for a geometry-optimized TaSi5 structure.

E: -6.8021 eV/atom
Formation energy without anion corrections: 0.47 eV/f.u.

The structure in POSCAR format:
```
TaSi5
1.0
3.399 0.000 0.000
0.000 3.484 0.000
0.000 0.000 15.472
Ta Si
2 10
Direct
0.000 0.000 0.000
0.000 0.500 0.500
0.000 0.000 0.369
0.000 0.000 0.733
0.000 0.500 0.233
0.000 0.500 0.869
0.500 0.000 0.166
0.500 0.000 0.556
0.500 0.000 0.864
0.500 0.500 0.056
0.500 0.500 0.364
0.500 0.500 0.666
```